[1]
VASP calculation (meta-GGA SCAN) on TiMoH3 at its PBEsol-relaxed geometry.

Results
ρ (g/cm³): 5.97
Size of the total moment (μB/f.u.): 0.93
Total DFT energy (no corrections) (eV per atom): -12.253
SG: Pm-3m
D(E_F) (states/eV/f.u.): 1.655

abc: 3.445 3.445 3.445
angles: 90.00 90.00 90.00
Element x y z (fractional)
Ti: 0.000 0.000 0.000
Mo: 0.500 0.500 0.500
H: 0.000 0.500 0.500
H: 0.500 0.000 0.500
H: 0.500 0.500 0.000

[2]
VASP calculation (meta-GGA SCAN) on Ti3MoH at its PBEsol-relaxed geometry.

Results
ρ (g/cm³): 3.88
Size of the total moment (μB/f.u.): 2.82
Total DFT energy (no corrections) (eV per atom): -15.889
SG: Pm-3m
D(E_F) (states/eV/f.u.): 4.277

abc: 4.686 4.686 4.686
angles: 90.00 90.00 90.00
Element x y z (fractional)
Ti: 0.000 0.000 0.500
Ti: 0.000 0.500 0.000
Ti: 0.500 0.000 0.000
Mo: 0.000 0.000 0.000
H: 0.500 0.500 0.500